Computed, not measured: K2CaMn after structural relaxation at the PBE level of DFT.

abc: 3.830 3.830 12.041
angles: 90.00 90.00 90.00
Space group P4/mmm (No. 123)
Unique sites:
K1 0.000 0.000 0.212 [2 per cell]
Ca1 0.500 0.500 0.500 [1 per cell]
Mn1 0.500 0.500 0.000 [1 per cell]

Calculated values
As for the offset from the most stable computed form: 81 kJ/mol of formula units. Its energy relative to the elements is 0.6871 eV per atom. For the raw total energy, the calculation gives -2.6545 eV/atom.